(1)
First-principles (GGA-PBE) data for a geometry-optimized Co3MoBr structure, as listed in the Alexandria database.

Results
Crystal system   cubic
Energy above the lowest structure with this stoichiometry   0.0000 eV per atom
Raw formation energy   1.458 eV per atom

a = 4.2901 Å, b = 4.2901 Å, c = 4.2901 Å
α = 90.00°, β = 90.00°, γ = 90.00°
Space group Pm-3m (No. 221)
Symmetry-distinct sites (fractional):
Co 0.0000 0.0000 0.5000 (multiplicity 3)
Mo 0.5000 0.5000 0.5000 (multiplicity 1)
Br 0.0000 0.0000 0.0000 (multiplicity 1)

(2)
First-principles (GGA-PBE) data for a geometry-optimized RbZnCd2Ga structure, as listed in the Alexandria database.

Results
Crystal system   tetragonal
Energy above the lowest structure with this stoichiometry   0.0205 eV per atom
Formation energy   11 kJ/mol of atoms

a = 5.4238 Å, b = 5.4238 Å, c = 5.0586 Å
α = 90.00°, β = 90.00°, γ = 90.00°
Space group P4/mmm (No. 123)
Symmetry-distinct sites (fractional):
Rb 0.0000 0.0000 0.0000 (multiplicity 1)
Zn 0.5000 0.5000 0.5000 (multiplicity 1)
Cd 0.0000 0.5000 0.5000 (multiplicity 2)
Ga 0.5000 0.5000 0.0000 (multiplicity 1)